Crystalline AcYErTl at its relaxed geometry, computed with PBE.

Cell lengths 7.9527, 7.9527, 7.9527 Å; angles 90.00, 90.00, 90.00 degrees
Closest atoms and distances in Å follow each position.
Atoms (fractional coordinates):
Ac 0.0000 0.0000 0.0000  4 Er 3.44, 4 Y 3.44
Ac 0.0000 0.5000 0.5000  4 Er 3.44, 4 Y 3.44
Ac 0.5000 0.0000 0.5000  4 Er 3.44, 4 Y 3.44
Ac 0.5000 0.5000 0.0000  4 Er 3.44, 4 Y 3.44
Y 0.2500 0.2500 0.7500  4 Ac 3.44, 4 Tl 3.44
Y 0.2500 0.7500 0.2500  4 Ac 3.44, 4 Tl 3.44
Y 0.7500 0.2500 0.2500  4 Ac 3.44, 4 Tl 3.44
Y 0.7500 0.7500 0.7500  4 Ac 3.44, 4 Tl 3.44
Er 0.2500 0.2500 0.2500  4 Ac 3.44, 4 Tl 3.44
Er 0.2500 0.7500 0.7500  4 Ac 3.44, 4 Tl 3.44
Er 0.7500 0.2500 0.7500  4 Ac 3.44, 4 Tl 3.44
Er 0.7500 0.7500 0.2500  4 Ac 3.44, 4 Tl 3.44
Tl 0.0000 0.0000 0.5000  4 Y 3.44, 4 Er 3.44
Tl 0.0000 0.5000 0.0000  4 Y 3.44, 4 Er 3.44
Tl 0.5000 0.0000 0.0000  4 Y 3.44, 4 Er 3.44
Tl 0.5000 0.5000 0.5000  4 Y 3.44, 4 Er 3.44

## Properties
Calculated formation energy in kJ per mole of atoms: 5.59
Crystal system: cubic
Size of the total moment in μB per formula unit: 1.40
Total DFT energy (no corrections) in eV per formula unit: -17.270
Symmetry: No. 216
Density of states at the Fermi level in states/eV per atom: 1.548